No. 1
DFT (PBE with a Hubbard U) results for an optimized crystal structure of NaV2HO6.

Summary:
Final energy: -133.3 eV per cell
N(E_F): 0.00 states/eV per cell
Density: 2.414 g/cm³

a = 7.3323 Å, b = 7.3323 Å, c = 5.9002 Å
α = 101.19°, β = 101.19°, γ = 88.50°
Last column: nearest neighbours and their distance in Å.
Element x y z (fractional)
Na1 0.1343 0.8657 0.7500  4 O 2.29-2.49, 1 H 2.48
Na2 0.8657 0.1343 0.2500  4 O 2.29-2.49, 1 H 2.48
V1 0.1815 0.3551 0.7672  4 O 1.64-1.81
V2 0.3551 0.1815 0.2672  4 O 1.64-1.81
V3 0.6449 0.8185 0.7328  4 O 1.64-1.81
V4 0.8185 0.6449 0.2328  4 O 1.64-1.81
H1 0.1079 0.8921 0.2500  2 O 1.21
H2 0.8921 0.1079 0.7500  2 O 1.21
O1 0.0033 0.1890 0.6785  1 H 1.21
O2 0.0988 0.5673 0.7998  1 V 1.64
O3 0.1890 0.0033 0.1785  1 H 1.21
O4 0.3194 0.3234 0.5403  2 V 1.80-1.81
O5 0.3234 0.3194 0.0403  2 V 1.80-1.81
O6 0.4327 0.9012 0.7002  1 V 1.64
O7 0.5673 0.0988 0.2998  1 V 1.64
O8 0.6766 0.6806 0.9597  2 V 1.80-1.81
O9 0.6806 0.6766 0.4597  2 V 1.80-1.81
O10 0.8110 0.9967 0.8215  1 H 1.21
O11 0.9012 0.4327 0.2002  1 V 1.64
O12 0.9967 0.8110 0.3215  1 H 1.21

=====

No. 2
DFT (PBE with a Hubbard U) results for an optimized crystal structure of NaVHO3.

Summary:
Final energy: -71.1 eV per cell
N(E_F): 0.00 states/eV per cell
Density: 2.186 g/cm³

a = 5.8600 Å, b = 5.8600 Å, c = 6.4275 Å
α = 110.92°, β = 110.92°, γ = 70.12°
Last column: nearest neighbours and their distance in Å.
Element x y z (fractional)
Na1 0.1830 0.1830 0.3423  3 O 2.31
Na2 0.8170 0.8170 0.6577  3 O 2.31
V1 0.4744 0.4744 0.1923  3 O 1.65-1.77
V2 0.5256 0.5256 0.8077  3 O 1.65-1.77
H1 0.2661 0.7339 0.5000  2 O 1.22
H2 0.7339 0.2661 0.5000  2 O 1.22
O1 0.2306 0.6584 0.6379  1 H 1.22
O2 0.2832 0.2832 0.0736  1 V 1.65
O3 0.3416 0.7694 0.3621  1 H 1.22
O4 0.6584 0.2306 0.6379  1 H 1.22
O5 0.7168 0.7168 0.9264  1 V 1.65
O6 0.7694 0.3416 0.3621  1 H 1.22

=====

No. 3
DFT (PBE with a Hubbard U) results for an optimized crystal structure of Na3VH6O7.

Summary:
Final energy: -91.3 eV per cell
N(E_F): 0.00 states/eV per cell
Density: 2.363 g/cm³

a = 5.6073 Å, b = 5.6073 Å, c = 5.6073 Å
α = 99.96°, β = 99.96°, γ = 99.96°
Last column: nearest neighbours and their distance in Å.
Element x y z (fractional)
Na1 0.1209 0.3165 0.5626  5 O 2.34-2.49
Na2 0.3165 0.5626 0.1209  5 O 2.34-2.49
Na3 0.5626 0.1209 0.3165  5 O 2.34-2.49
V1 0.7447 0.7447 0.7447  4 O 1.73-1.76
H1 0.1285 0.8225 0.4868  1 O 1.00
H2 0.2297 0.9902 0.8576  1 O 1.01
H3 0.4868 0.1285 0.8225  1 O 1.00
H4 0.8225 0.4868 0.1285  1 O 1.00
H5 0.8576 0.2297 0.9902  1 O 1.01
H6 0.9902 0.8576 0.2297  1 O 1.01
O1 0.0468 0.7005 0.7378  2 H 1.72-1.76, 1 V 1.76
O2 0.1571 0.9045 0.3458  2 H 1.00-1.01
O3 0.3458 0.1571 0.9045  2 H 1.00-1.01
O4 0.5242 0.5242 0.5242  1 V 1.73
O5 0.7005 0.7378 0.0468  2 H 1.72-1.76, 1 V 1.76
O6 0.7378 0.0468 0.7005  2 H 1.72-1.76, 1 V 1.76
O7 0.9045 0.3458 0.1571  2 H 1.00-1.01

=====

No. 4
DFT (PBE with a Hubbard U) results for an optimized crystal structure of Na3V3H6O7.

Summary:
Final energy: -102.0 eV per cell
Density: 2.036 g/cm³

a = 5.6278 Å, b = 6.4083 Å, c = 8.3764 Å
α = 104.65°, β = 100.67°, γ = 101.66°
Last column: nearest neighbours and their distance in Å.
Element x y z (fractional)
Na1 0.0000 0.0000 0.0000  1 H 2.29, 4 O 2.32-2.50
Na2 0.1511 0.3688 0.3986  2 O 2.28-2.38
Na3 0.6499 0.2915 0.7311  4 O 2.33-2.45, 2 H 2.50-2.53
V1 0.5359 0.8681 0.2395  4 O 2.02-2.17
V2 0.6325 0.3616 0.2195  2 O 1.82-1.89
V3 0.7343 0.7146 0.5373  3 O 1.96-2.05
H1 0.1381 0.2466 0.7753  1 O 1.02
H2 0.1580 0.4543 0.9363  1 O 1.01
H3 0.2396 0.0381 0.5472  1 O 0.98
H4 0.3899 0.7685 0.9205  1 O 0.98
H5 0.9058 0.0927 0.5331  1 O 1.01
H6 0.9774 0.6611 0.8138  1 O 0.99
O1 0.0685 0.2919 0.8792  2 H 1.01-1.02
O2 0.2234 0.1882 0.5973  1 H 0.98
O3 0.2823 0.7446 0.9967  1 H 0.98
O4 0.4708 0.5795 0.3090  3 V 1.89-2.06
O5 0.7231 0.0103 0.5084  1 H 1.01
O6 0.7518 0.1147 0.1795  2 V 1.82-2.02
O7 0.8094 0.6737 0.7633  1 H 0.99

=====

No. 5
DFT (PBE with a Hubbard U) results for an optimized crystal structure of Na4VHO5.

Summary:
Final energy: -241.3 eV per cell
N(E_F): 0.00 states/eV per cell
Density: 2.572 g/cm³

a = 9.1066 Å, b = 7.5460 Å, c = 8.4132 Å
α = 90.00°, β = 90.00°, γ = 90.00°
Last column: nearest neighbours and their distance in Å.
Element x y z (fractional)
Na1 0.0000 0.0000 0.0000  4 O 2.33-2.54, 2 H 2.47
Na2 0.0000 0.5000 0.0000  4 O 2.33-2.54, 2 H 2.47
Na3 0.1272 0.2500 0.2580  6 O 2.35-2.54, 1 H 2.45
Na4 0.1285 0.5135 0.6526  4 O 2.37-2.60
Na5 0.1285 0.9865 0.6526  4 O 2.37-2.60
Na6 0.3715 0.0135 0.1526  4 O 2.37-2.60
Na7 0.3715 0.4865 0.1526  4 O 2.37-2.60
Na8 0.3728 0.7500 0.7580  6 O 2.35-2.54, 1 H 2.45
Na9 0.5000 0.0000 0.5000  4 O 2.33-2.54, 2 H 2.47
Na10 0.5000 0.5000 0.5000  4 O 2.33-2.54, 2 H 2.47
Na11 0.6272 0.2500 0.2420  6 O 2.35-2.54, 1 H 2.45
Na12 0.6285 0.5135 0.8474  4 O 2.37-2.60
Na13 0.6285 0.9865 0.8474  4 O 2.37-2.60
Na14 0.8715 0.0135 0.3474  4 O 2.37-2.60
Na15 0.8715 0.4865 0.3474  4 O 2.37-2.60
Na16 0.8728 0.7500 0.7420  6 O 2.35-2.54, 1 H 2.45
V1 0.1372 0.7500 0.3501  4 O 1.74-1.76
V2 0.3628 0.2500 0.8501  4 O 1.74-1.76
V3 0.6372 0.7500 0.1499  4 O 1.74-1.76
V4 0.8628 0.2500 0.6499  4 O 1.74-1.76
H1 0.1671 0.7500 0.9458  1 O 0.97
H2 0.3329 0.2500 0.4458  1 O 0.97
H3 0.6671 0.7500 0.5542  1 O 0.97
H4 0.8329 0.2500 0.0542  1 O 0.97
O1 0.0164 0.2500 0.5228  1 V 1.76
O2 0.1177 0.7500 0.8430  1 H 0.97
O3 0.1297 0.5597 0.2325  1 V 1.75
O4 0.1297 0.9403 0.2325  1 V 1.75
O5 0.2069 0.2500 0.9688  1 V 1.74
O6 0.2931 0.7500 0.4688  1 V 1.74
O7 0.3703 0.0597 0.7325  1 V 1.75
O8 0.3703 0.4403 0.7325  1 V 1.75
O9 0.3823 0.2500 0.3430  1 H 0.97
O10 0.4836 0.7500 0.0228  1 V 1.76
O11 0.5164 0.2500 0.9772  1 V 1.76
O12 0.6177 0.7500 0.6570  1 H 0.97
O13 0.6297 0.5597 0.2675  1 V 1.75
O14 0.6297 0.9403 0.2675  1 V 1.75
O15 0.7069 0.2500 0.5312  1 V 1.74
O16 0.7931 0.7500 0.0312  1 V 1.74
O17 0.8703 0.0597 0.7675  1 V 1.75
O18 0.8703 0.4403 0.7675  1 V 1.75
O19 0.8823 0.2500 0.1570  1 H 0.97
O20 0.9836 0.7500 0.4772  1 V 1.76